{
  "formula": "Cs2CoAsF6",
  "functional": "PBE with a Hubbard U",
  "state": "relaxed",
  "dos_at_fermi_per_ev_atom": 0.00,
  "final_energy_ev_per_cell": -43.60,
  "cell": [[-4.603, 0.514, -3.685], [-3.720, -0.732, 4.545], [-4.219, 5.366, 1.265]],
  "species": ["F", "Co", "Cs", "As", "F", "F", "Cs", "F", "F", "F"],
  "fractional_positions": [[0.184, 0.184, 0.632], [0.500, 0.500, 0.000], [0.250, 0.750, 0.500], [0.000, 0.000, 0.000], [0.816, 0.816, 0.368], [0.252, 0.748, 0.000], [0.750, 0.250, 0.500], [0.748, 0.748, 0.000], [0.252, 0.252, 0.000], [0.748, 0.252, 0.000]]
}